1.
Below is Ho3Si6Pd20 after structural relaxation, with properties calculated at the PBE-GGA level.

Unit cell a=12.304 b=12.304 c=12.304 alpha=90.00 beta=90.00 gamma=90.00
Space group Fm-3m (No. 225)
Symmetry-distinct sites (fractional):
Ho1 0.000 0.000 0.000 [4 per cell]
Ho2 0.250 0.250 0.250 [8 per cell]
Si1 0.000 0.000 0.268 [24 per cell]
Pd1 0.000 0.173 0.173 [48 per cell]
Pd2 0.117 0.117 0.383 [32 per cell]

Total energy (eV/atom): -6.00
Spin magnetization (μB/f.u.): 0.00

2.
Below is LiCdTeMoBr after structural relaxation, with properties calculated at the PBE-GGA level.

Unit cell a=3.500 b=3.500 c=10.121 alpha=80.27 beta=81.24 gamma=90.00
Space group P1 (No. 1)
Symmetry-distinct sites (fractional):
Li1 0.000 0.000 0.000 [1 per cell]
Cd1 0.250 0.222 0.569 [1 per cell]
Te1 0.863 0.848 0.311 [1 per cell]
Mo1 0.417 0.408 0.189 [1 per cell]
Br1 0.535 0.540 0.919 [1 per cell]

Total energy (eV/atom): -3.89
E above lowest polymorph (meV/atom): 186
Spin magnetization (μB/f.u.): 1.11

3.
Below is Dy2YTm3Sb6 after structural relaxation, with properties calculated at the PBE-GGA level.

Unit cell a=19.012 b=4.361 c=8.724 alpha=90.00 beta=103.19 gamma=90.00
Space group C2/m (No. 12)
Symmetry-distinct sites (fractional):
Dy1 0.167 0.000 0.333 [4 per cell]
Y1 0.000 0.500 0.000 [2 per cell]
Tm1 0.000 0.500 0.500 [2 per cell]
Tm2 0.167 0.000 0.833 [4 per cell]
Sb1 0.001 0.000 0.748 [4 per cell]
Sb2 0.166 0.500 0.585 [4 per cell]
Sb3 0.168 0.500 0.081 [4 per cell]

Total energy (eV/atom): -5.59
Spin magnetization (μB/f.u.): 0.00

4.
Below is SeI after structural relaxation, with properties calculated at the PBE-GGA level.

Unit cell a=6.233 b=6.233 c=6.233 alpha=90.00 beta=90.00 gamma=90.00
Space group Fm-3m (No. 225)
Symmetry-distinct sites (fractional):
Se1 0.000 0.000 0.000 [4 per cell]
I1 0.000 0.000 0.500 [4 per cell]

Total energy (eV/atom): -2.10
Spin magnetization (μB/f.u.): 0.00

5.
Below is Al4PbSe7 after structural relaxation, with properties calculated at the PBE-GGA level.

Unit cell a=15.787 b=6.746 c=6.329 alpha=90.00 beta=90.00 gamma=90.00
Space group Pmn2_1 (No. 31)
Symmetry-distinct sites (fractional):
Al1 0.124 0.159 0.000 [4 per cell]
Al2 0.245 0.680 0.989 [4 per cell]
Pb1 0.000 0.483 0.449 [2 per cell]
Se1 0.000 0.356 0.908 [2 per cell]
Se2 0.119 0.829 0.877 [4 per cell]
Se3 0.122 0.169 0.386 [4 per cell]
Se4 0.248 0.669 0.379 [4 per cell]

Total energy (eV/atom): -4.40
Spin magnetization (μB/f.u.): 0.00

6.
Below is Li3CdAu after structural relaxation, with properties calculated at the PBE-GGA level.

Unit cell a=13.337 b=4.649 c=5.621 alpha=90.00 beta=103.69 gamma=90.00
Space group C2/m (No. 12)
Symmetry-distinct sites (fractional):
Li1 0.009 0.000 0.269 [4 per cell]
Li2 0.122 0.500 0.446 [4 per cell]
Li3 0.206 0.000 0.190 [4 per cell]
Cd1 0.102 0.500 0.938 [4 per cell]
Au1 0.184 0.000 0.682 [4 per cell]

Total energy (eV/atom): -2.35
Formation enthalpy at 0 K (eV per atom): -0.366
E above lowest polymorph (meV/atom): 0
Spin magnetization (μB/f.u.): 0.00

7.
Below is Rb3Np2InTe6 after structural relaxation, with properties calculated at the PBE-GGA level.

Unit cell a=8.056 b=13.942 c=8.800 alpha=90.00 beta=107.70 gamma=90.00
Space group C2/m (No. 12)
Symmetry-distinct sites (fractional):
Rb1 0.000 0.000 0.000 [2 per cell]
Rb2 0.000 0.339 0.000 [4 per cell]
Np1 0.000 0.167 0.500 [4 per cell]
In1 0.000 0.500 0.500 [2 per cell]
Te1 0.217 0.000 0.695 [4 per cell]
Te2 0.240 0.326 0.697 [8 per cell]

Total energy (eV/atom): -4.98
Spin magnetization (μB/f.u.): 6.74

8.
Below is Pd3RuSe after structural relaxation, with properties calculated at the PBE-GGA level.

Unit cell a=4.637 b=4.637 c=4.637 alpha=90.00 beta=90.00 gamma=90.00
Space group Pm-3m (No. 221)
Symmetry-distinct sites (fractional):
Pd1 0.000 0.000 0.500 [3 per cell]
Ru1 0.500 0.500 0.500 [1 per cell]
Se1 0.000 0.000 0.000 [1 per cell]

Total energy (eV/atom): -4.93
E above lowest polymorph (meV/atom): 0
Spin magnetization (μB/f.u.): 3.14

9.
Below is PmMgGa4 after structural relaxation, with properties calculated at the PBE-GGA level.

Unit cell a=4.355 b=6.801 c=8.188 alpha=90.00 beta=90.00 gamma=90.00
Space group Immm (No. 71)
Symmetry-distinct sites (fractional):
Pm1 0.000 0.000 0.000 [2 per cell]
Mg1 0.000 0.500 0.000 [2 per cell]
Ga1 0.000 0.209 0.337 [8 per cell]

Total energy (eV/atom): -3.48
Formation enthalpy at 0 K (eV per atom): -0.407
E above lowest polymorph (meV/atom): 12
Spin magnetization (μB/f.u.): 0.00

10.
Below is Zr2TaMn after structural relaxation, with properties calculated at the PBE-GGA level.

Unit cell a=3.1065 b=3.1065 c=27.2680 alpha=90.00 beta=90.00 gamma=120.00
Space group R3m (No. 160, hexagonal axes)
Symmetry-distinct sites (fractional):
Zr1 0.0000 0.0000 0.0000 [3 per cell]
Zr2 0.0000 0.0000 0.2336 [3 per cell]
Ta1 0.0000 0.0000 0.4739 [3 per cell]
Mn1 0.0000 0.0000 0.7416 [3 per cell]

Total energy (eV/atom): -9.32
Formation enthalpy at 0 K (eV per atom): 0.206
E above lowest polymorph (meV/atom): 221
Spin magnetization (μB/f.u.): 0.54

11.
Below is PtRhN after structural relaxation, with properties calculated at the PBE-GGA level.

Unit cell a=2.9070 b=2.9070 c=31.1901 alpha=90.00 beta=90.00 gamma=120.00
Space group R3m (No. 160, hexagonal axes)
Symmetry-distinct sites (fractional):
Pt1 0.0000 0.0000 0.0000 [3 per cell]
Pt2 0.0000 0.0000 0.2599 [3 per cell]
Rh1 0.0000 0.0000 0.4065 [3 per cell]
Rh2 0.0000 0.0000 0.5201 [3 per cell]
N1 0.0000 0.0000 0.7745 [3 per cell]
N2 0.0000 0.0000 0.8187 [3 per cell]

Total energy (eV/atom): -6.99
E above lowest polymorph (meV/atom): 76
Spin magnetization (μB/f.u.): 0.00

12.
Below is Rb2SbHI6 after structural relaxation, with properties calculated at the PBE-GGA level.

Unit cell a=9.338 b=9.338 c=9.966 alpha=90.00 beta=90.00 gamma=90.00
Space group I4/mmm (No. 139)
Symmetry-distinct sites (fractional):
Rb1 0.000 0.500 0.250 [4 per cell]
Sb1 0.000 0.000 0.000 [2 per cell]
H1 0.000 0.000 0.500 [2 per cell]
I1 0.000 0.000 0.310 [4 per cell]
I2 0.227 0.227 0.000 [8 per cell]

Total energy (eV/atom): -2.54
Spin magnetization (μB/f.u.): 0.00

13.
Below is Na12Tl3H5 after structural relaxation, with properties calculated at the PBE-GGA level.

Unit cell a=15.820 b=15.820 c=15.820 alpha=90.00 beta=90.00 gamma=90.00
Space group Ia-3d (No. 230)
Symmetry-distinct sites (fractional):
Na1 0.040 0.049 0.647 [96 per cell]
Tl1 0.000 0.250 0.125 [24 per cell]
H1 0.000 0.000 0.000 [16 per cell]
H2 0.000 0.250 0.375 [24 per cell]

Total energy (eV/atom): -1.96
Spin magnetization (μB/f.u.): 0.00

14.
Below is EuZnSi after structural relaxation, with properties calculated at the PBE-GGA level.

Unit cell a=4.2516 b=4.2516 c=8.5247 alpha=90.00 beta=90.00 gamma=120.00
Space group P6_3/mmc (No. 194)
Symmetry-distinct sites (fractional):
Eu1 0.0000 0.0000 0.0000 [2 per cell]
Zn1 0.3333 0.6667 0.2500 [2 per cell]
Si1 0.3333 0.6667 0.7500 [2 per cell]

Total energy (eV/atom): -6.15
Spin magnetization (μB/f.u.): 7.04

15.
Below is Lu6Co2Sn after structural relaxation, with properties calculated at the PBE-GGA level.

Unit cell a=9.193 b=9.403 c=9.736 alpha=90.00 beta=90.00 gamma=90.00
Space group Immm (No. 71)
Symmetry-distinct sites (fractional):
Lu1 0.000 0.210 0.238 [8 per cell]
Lu2 0.188 0.500 0.175 [8 per cell]
Lu3 0.216 0.316 0.500 [8 per cell]
Co1 0.000 0.343 0.000 [4 per cell]
Co2 0.000 0.500 0.384 [4 per cell]
Sn1 0.000 0.000 0.000 [2 per cell]
Sn2 0.000 0.000 0.500 [2 per cell]

Total energy (eV/atom): -5.42
Formation enthalpy at 0 K (eV per atom): -0.384
Spin magnetization (μB/f.u.): 0.00

16.
Below is Er6ZnSb2 after structural relaxation, with properties calculated at the PBE-GGA level.

Unit cell a=6.788 b=6.788 c=13.218 alpha=90.00 beta=90.00 gamma=90.00
Space group P4_2/mnm (No. 136)
Symmetry-distinct sites (fractional):
Er1 0.193 0.193 0.157 [8 per cell]
Er2 0.213 0.213 0.500 [4 per cell]
Zn1 0.000 0.000 0.000 [2 per cell]
Sb1 0.000 0.000 0.334 [4 per cell]

Total energy (eV/atom): -4.25
Spin magnetization (μB/f.u.): 0.07